The following is a DFT calculation (GGA-PBE) of a relaxed structure of Ti2Al2Rh3.

Unit cell a=7.4034 b=7.4034 c=7.4034 alpha=33.46 beta=33.46 gamma=33.46
Positions (direct):
Ti  0.1258  0.1258  0.1258
Ti  0.8742  0.8742  0.8742
Al  0.3791  0.3791  0.3791
Al  0.6209  0.6209  0.6209
Rh  0.0000  0.0000  0.0000
Rh  0.2491  0.2491  0.2491
Rh  0.7509  0.7509  0.7509

Output
For the formation enthalpy at 0 K, the calculation gives -5.54 eV per formula unit.